1.
This record from Alexandria describes a relaxed YCoO3 crystal. The functional is PBEsol.

Summary:
Raw formation energy, eV/atom: -2.3562
M_tot, μB per formula unit: 0.0
Symmetry: Pnma

Structure (POSCAR):
```
YCoO3
1.0
-3.617 3.536 0.350
-0.915 -1.446 5.155
4.965 4.857 2.244
O Y Co
12 4 4
Cartesian
-1.424 3.891 5.426
-0.015 6.064 4.714
3.849 5.004 3.222
2.961 4.701 5.841
1.530 5.724 2.032
-2.529 2.246 1.907
-1.097 1.222 5.716
-3.416 1.942 4.526
0.970 2.753 4.941
1.857 3.056 2.322
-0.537 4.194 2.807
0.448 0.883 3.034
2.798 2.383 6.457
1.605 4.719 4.040
-1.173 2.228 3.709
-2.366 4.564 1.291
-0.458 -0.723 2.577
0.674 4.197 1.297
-1.809 1.768 0.175
2.025 1.706 3.699
```

2.
This record from Alexandria describes a relaxed YCoO3 crystal. The functional is PBEsol.

Summary:
Raw formation energy, eV/atom: -2.1218
M_tot, μB per formula unit: 1.2
Symmetry: Pm-3m

Structure (POSCAR):
```
YCoO3
1.0
3.690 0.000 0.000
0.000 3.690 0.000
0.000 0.000 3.690
O Co Y
3 1 1
Cartesian
0.000 0.000 1.845
1.845 0.000 0.000
0.000 1.845 0.000
0.000 0.000 0.000
1.845 1.845 1.845
```

3.
This record from Alexandria describes a relaxed ZnCo2O4 crystal. The functional is PBEsol.

Summary:
Raw formation energy, eV/atom: -1.2286
M_tot, μB per formula unit: 0.0
Symmetry: Fd-3m

Structure (POSCAR):
```
ZnCo2O4
1.0
5.687 0.000 0.000
2.844 4.925 0.000
2.844 1.642 4.644
Zn Co O
2 4 8
Cartesian
2.844 1.642 1.161
0.000 0.000 0.000
4.266 4.105 2.902
5.687 1.642 2.902
5.687 3.284 0.580
7.109 4.105 2.902
7.278 5.649 3.994
6.940 2.560 1.810
9.784 5.649 3.994
8.531 4.925 1.948
8.531 3.479 3.994
5.687 4.730 1.810
5.687 3.284 3.856
4.434 2.560 1.810
```

4.
This record from Alexandria describes a relaxed Zn4CoO5 crystal. The functional is PBEsol.

Summary:
Raw formation energy, eV/atom: -1.2476
M_tot, μB per formula unit: 3.0
Symmetry: P3m1

Structure (POSCAR):
```
Zn4CoO5
1.0
-0.854 -2.993 -0.814
1.872 0.496 2.570
-21.248 1.956 15.101
Co O Zn
2 10 8
Cartesian
-4.260 0.392 3.028
-0.042 0.004 0.030
-10.120 0.931 7.192
-14.395 1.325 10.231
-19.843 1.248 16.228
-15.569 0.855 13.191
-2.804 -0.320 4.119
-11.295 0.461 10.153
-1.636 0.151 1.162
-18.668 1.718 13.267
-7.016 0.067 7.112
-5.844 0.538 4.153
-13.958 0.706 12.046
-12.788 1.177 9.088
-1.190 -0.469 2.972
-18.225 1.099 15.078
-17.054 1.570 12.120
-5.415 -0.080 5.974
-9.690 0.313 9.012
-8.516 0.784 6.052
```

5.
This record from Alexandria describes a relaxed Zn3CoO crystal. The functional is PBEsol.

Summary:
Raw formation energy, eV/atom: 0.8768
M_tot, μB per formula unit: 1.9
Symmetry: Pm-3m

Structure (POSCAR):
```
Zn3CoO
1.0
4.462 0.000 0.000
0.000 4.462 0.000
0.000 0.000 4.462
O Zn Co
1 3 1
Cartesian
2.231 2.231 2.231
0.000 0.000 2.231
0.000 2.231 0.000
2.231 0.000 0.000
0.000 0.000 0.000
```

6.
This record from Alexandria describes a relaxed Zn2Co3O8 crystal. The functional is PBEsol.

Summary:
Raw formation energy, eV/atom: -1.0996
M_tot, μB per formula unit: 3.1
Symmetry: P6_3mc
Energy above the most stable polymorph in this dataset, meV/atom: 0.0

Structure (POSCAR):
```
Zn2Co3O8
1.0
-1.323 5.396 1.002
-3.678 -3.363 -2.651
-3.622 -2.383 8.050
Co O Zn
6 16 4
Cartesian
-4.447 2.157 6.484
-4.217 -2.534 0.006
-6.313 0.451 5.139
-2.351 -0.827 1.351
-3.775 -0.581 5.976
-4.889 0.204 0.514
-4.461 -2.246 6.204
-3.144 1.148 5.567
-4.201 -1.304 1.473
-2.465 -1.872 -0.215
-4.680 -0.972 -0.945
-4.921 1.397 1.882
-2.360 -1.553 5.245
-2.978 3.173 3.282
-2.279 0.323 2.753
-5.358 2.048 4.837
-3.051 0.517 0.229
-6.404 -4.022 4.804
-4.772 -0.341 4.393
-0.549 -0.361 1.220
-7.103 -1.172 5.333
-5.227 0.424 6.715
-2.382 2.296 0.393
-3.808 1.358 3.562
-4.978 -1.815 3.200
-6.404 -2.753 6.370
```